1.
Computed, not measured: a relaxed structure of KSn2Br5 at the PBE level of DFT.

Cell: 11.1576 8.2649 14.6522 Å, 90.00 109.50 90.00°
Fractional coordinates of all 32 atoms:
K1 0.0000 0.0000 0.0000
K2 0.0000 0.5000 0.5000
K3 0.5000 0.0000 0.0000
K4 0.5000 0.5000 0.5000
Sn1 0.0865 0.0163 0.3782
Sn2 0.0865 0.4837 0.8782
Sn3 0.4135 0.0162 0.6217
Sn4 0.4135 0.4838 0.1217
Sn5 0.5865 0.5162 0.8783
Sn6 0.5865 0.9838 0.3783
Sn7 0.9135 0.5163 0.1218
Sn8 0.9135 0.9837 0.6218
Br1 0.0412 0.1970 0.2073
Br2 0.0412 0.3030 0.7073
Br3 0.1320 0.6484 0.0910
Br4 0.1320 0.8516 0.5910
Br5 0.2500 0.2238 0.9999
Br6 0.2500 0.2762 0.4999
Br7 0.3679 0.6483 0.9091
Br8 0.3679 0.8517 0.4091
Br9 0.4599 0.1967 0.7929
Br10 0.4599 0.3033 0.2929
Br11 0.5401 0.6967 0.7071
Br12 0.5401 0.8033 0.2071
Br13 0.6321 0.1483 0.5909
Br14 0.6321 0.3517 0.0909
Br15 0.7500 0.7238 0.5001
Br16 0.7500 0.7762 0.0001
Br17 0.8680 0.1484 0.4090
Br18 0.8680 0.3516 0.9090
Br19 0.9588 0.6970 0.2927
Br20 0.9588 0.8030 0.7927

Calculated values
Spin magnetization: 0.000 Bohr magnetons per cell
Raw total energy: -102.23 eV per cell
Space-group type: P2_1/c, No. 14

2.
Computed, not measured: a relaxed structure of KSn2Br5 at the PBE level of DFT.

Cell: 9.5673 9.5673 9.5673 Å, 127.62 127.62 77.24°
Fractional coordinates of all 16 atoms:
K1 0.2500 0.2500 0.0000
K2 0.7500 0.7500 0.0000
Sn1 0.1762 0.6762 0.8524
Sn2 0.3238 0.1762 0.5000
Sn3 0.6762 0.8238 0.5000
Sn4 0.8238 0.3238 0.1476
Br1 0.0000 0.0000 0.0000
Br2 0.0274 0.2039 0.5000
Br3 0.2039 0.7039 0.1765
Br4 0.2961 0.4726 0.5000
Br5 0.4726 0.9726 0.1765
Br6 0.5000 0.5000 0.0000
Br7 0.5274 0.0274 0.8235
Br8 0.7039 0.5274 0.5000
Br9 0.7961 0.2961 0.8235
Br10 0.9726 0.7961 0.5000

Calculated values
Spin magnetization: 0.000 Bohr magnetons per cell
Raw total energy: -51.15 eV per cell
Space-group type: I4/mcm, No. 140

3.
Computed, not measured: a relaxed structure of KSn2Br6 at the PBE level of DFT.

Cell: 7.4773 7.4773 10.7413 Å, 115.77 115.77 43.31°
Fractional coordinates of all 9 atoms:
K1 0.0000 0.0000 0.0000
Sn1 0.1826 0.1826 0.6425
Sn2 0.8174 0.8174 0.3575
Br1 0.0114 0.0114 0.6906
Br2 0.3050 0.3050 0.4011
Br3 0.3357 0.3357 0.9122
Br4 0.6643 0.6643 0.0878
Br5 0.6950 0.6950 0.5989
Br6 0.9886 0.9886 0.3094

Calculated values
Spin magnetization: 0.000 Bohr magnetons per cell
Raw total energy: -27.48 eV per cell
Space-group type: C2/m, No. 12

4.
Computed, not measured: a relaxed structure of KSn2Br4 at the PBE level of DFT.

Cell: 8.5186 8.5186 7.3690 Å, 112.92 112.92 33.87°
Fractional coordinates of all 7 atoms:
K1 0.0000 0.0000 0.0000
Sn1 0.2710 0.2710 0.2763
Sn2 0.7290 0.7290 0.7237
Br1 0.1394 0.1394 0.5020
Br2 0.3581 0.3581 0.9998
Br3 0.6419 0.6419 0.0002
Br4 0.8606 0.8606 0.4980

Calculated values
Spin magnetization: 0.000 Bohr magnetons per cell
Excess energy over the best structure of this formula in the dataset: 0.103 eV/atom
Raw total energy: -21.44 eV per cell
Space-group type: C2/m, No. 12

5.
Computed, not measured: a relaxed structure of KSn3Br6 at the PBE level of DFT.

Cell: 12.2595 4.3140 13.3081 Å, 90.00 99.94 90.00°
Fractional coordinates of all 20 atoms:
K1 0.0226 0.2500 0.1808
K2 0.9774 0.7500 0.8192
Sn1 0.1702 0.2500 0.5584
Sn2 0.3258 0.7500 0.0264
Sn3 0.3601 0.2500 0.3956
Sn4 0.6399 0.7500 0.6044
Sn5 0.6742 0.2500 0.9736
Sn6 0.8298 0.7500 0.4416
Br1 0.0632 0.7500 0.4012
Br2 0.1431 0.2500 0.9632
Br3 0.2147 0.7500 0.7060
Br4 0.2425 0.7500 0.2106
Br5 0.4605 0.2500 0.6038
Br6 0.4699 0.2500 0.1211
Br7 0.5301 0.7500 0.8789
Br8 0.5395 0.7500 0.3962
Br9 0.7575 0.2500 0.7894
Br10 0.7853 0.2500 0.2940
Br11 0.8569 0.7500 0.0368
Br12 0.9368 0.2500 0.5988

Calculated values
Spin magnetization: 0.000 Bohr magnetons per cell
Raw total energy: -62.91 eV per cell
Space-group type: P2_1/m, No. 11

6.
Computed, not measured: a relaxed structure of K2SnBr at the PBE level of DFT.

Cell: 6.0903 6.0903 6.0903 Å, 60.00 60.00 60.00°
Fractional coordinates of all 4 atoms:
K1 0.2500 0.2500 0.2500
K2 0.7500 0.7500 0.7500
Sn1 0.0000 0.0000 0.0000
Br1 0.5000 0.5000 0.5000

Calculated values
Spin magnetization: 3.000 Bohr magnetons per cell
Excess energy over the best structure of this formula in the dataset: 0.028 eV/atom
Raw total energy: -9.76 eV per cell
Space-group type: Fm-3m, No. 225

7.
Computed, not measured: a relaxed structure of K5SnBr8 at the PBE level of DFT.

Cell: 8.6010 8.6010 8.6010 Å, 110.42 110.42 107.60°
Fractional coordinates of all 14 atoms:
K1 0.0000 0.0000 0.0000
K2 0.2411 0.1038 0.5971
K3 0.3560 0.7589 0.8627
K4 0.5067 0.6440 0.4029
K5 0.8962 0.4933 0.1373
Sn1 0.7500 0.2500 0.5000
Br1 0.0810 0.3572 0.8248
Br2 0.1339 0.3715 0.4017
Br3 0.2678 0.8661 0.2376
Br4 0.5324 0.2562 0.1752
Br5 0.6285 0.0302 0.7624
Br6 0.6428 0.4676 0.7238
Br7 0.7438 0.9190 0.2762
Br8 0.9698 0.7322 0.5983

Calculated values
Spin magnetization: 0.001 Bohr magnetons per cell
Raw total energy: -41.88 eV per cell
Space-group type: I-4, No. 82

8.
Computed, not measured: a relaxed structure of K2SnBr at the PBE level of DFT.

Cell: 7.5550 7.5550 7.5550 Å, 104.46 104.46 120.04°
Fractional coordinates of all 8 atoms:
K1 0.0833 0.6250 0.9583
K2 0.3750 0.3333 0.4583
K3 0.6667 0.1250 0.0417
K4 0.8750 0.9167 0.5417
Sn1 0.2500 0.7500 0.5000
Sn2 0.5000 0.5000 0.0000
Br1 0.0000 0.0000 0.0000
Br2 0.7500 0.2500 0.5000

Calculated values
Spin magnetization: 0.000 Bohr magnetons per cell
Excess energy over the best structure of this formula in the dataset: 0.000 eV/atom
Raw total energy: -19.74 eV per cell
Space-group type: I-42d, No. 122